(1)
CsK2SnAu: optimized geometry, PBE.

Results
Energy relative to the elements: -15 kJ/mol of atoms
Symmetry: No. 123

The structure in POSCAR format:
```
CsK2SnAu
1.0
-2.459 3.739 -4.668
-5.113 1.305 3.738
2.619 4.314 2.076
Cs K Au Sn
1 2 1 1
direct
0.500 0.500 0.500 Cs
0.500 0.000 0.000 K
0.000 0.500 0.000 K
0.000 0.000 0.000 Au
0.000 0.000 0.500 Sn
```

***

(2)
Cu2PCl: optimized geometry, PBE.

Results
Symmetry: No. 12
Uncorrected formation energy: 0.190 eV/atom

The structure in POSCAR format:
```
Cu2PCl
1.0
5.490 0.209 0.061
1.174 5.367 0.061
1.432 1.198 2.352
P Cl Cu
1 1 2
direct
0.500 0.000 0.500 P
0.000 0.500 0.500 Cl
0.500 0.500 0.000 Cu
0.000 0.000 0.000 Cu
```

***

(3)
CaSmTc2O8: optimized geometry, PBE.

Results
Symmetry: No. 82
Uncorrected formation energy: -2.119 eV/atom

The structure in POSCAR format:
```
CaSmTc2O8
1.0
-0.204 -1.774 4.961
-4.386 -2.694 -1.144
5.498 -2.341 -3.413
O Tc Sm Ca
8 2 1 1
direct
0.078 0.989 0.662 O
0.165 0.570 0.834 O
0.430 0.331 0.166 O
0.011 0.417 0.338 O
0.669 0.264 0.834 O
0.327 0.922 0.338 O
0.736 0.835 0.166 O
0.583 0.673 0.662 O
0.500 0.500 0.000 Tc
0.250 0.750 0.500 Tc
0.750 0.250 0.500 Sm
0.000 0.000 0.000 Ca
```

***

(4)
HPdRu2: optimized geometry, PBE.

Results
Symmetry: No. 122

The structure in POSCAR format:
```
HPdRu2
1.0
6.004 0.000 0.000
0.000 6.004 0.000
3.002 3.002 2.629
Ru H Pd
4 2 2
direct
0.375 0.480 0.750 Ru
0.230 0.625 0.250 Ru
0.875 0.770 0.750 Ru
0.520 0.125 0.250 Ru
0.500 0.500 0.000 H
0.250 0.750 0.500 H
0.000 0.000 0.000 Pd
0.750 0.250 0.500 Pd
```

***

Computed values of calculated volume (unit: Å³ per atom) for the preceding records, in sequence: 45.6 17.0 13.4 11.8.
Computed values of raw total energy (unit: Ry/atom) for the preceding records, in sequence: -0.163 -0.270 -0.567 -0.470.